This record from Alexandria describes a relaxed structure of Mo2AsPb. The functional is PBE-GGA.

Summary:
The calculation puts the energy above the most stable polymorph in this dataset at 1.96 eV per formula unit. Its formation energy is 652.0 meV per atom. For the mass density, the calculation gives 9.46 g/cm³. For the uncorrected energy, the calculation gives -6.853 eV per atom.

a b c (Å): 4.215 4.215 18.730
angles (deg): 90.00 90.00 90.00
Sites, in units of the cell vectors:
1 Mo 0.167 0.250 0.125
2 Mo 0.250 0.667 0.375
3 Mo 0.250 0.833 0.875
4 Mo 0.333 0.250 0.625
5 Mo 0.667 0.750 0.625
6 Mo 0.750 0.167 0.875
7 Mo 0.750 0.333 0.375
8 Mo 0.833 0.750 0.125
9 As 0.000 0.000 0.000
10 As 0.000 0.500 0.250
11 As 0.500 0.000 0.750
12 As 0.500 0.500 0.500
13 Pb 0.000 0.000 0.500
14 Pb 0.000 0.500 0.750
15 Pb 0.500 0.000 0.250
16 Pb 0.500 0.500 0.000